MnZnNF2: relaxed, PBE with a Hubbard U.

Cell lengths 3.899, 3.899, 4.181 Å; angles 90.00, 90.00, 90.00 degrees
Space group P4/mmm (No. 123)
Asymmetric unit:
Mn 0.000 0.000 0.000 [1 per cell]
Zn 0.500 0.500 0.500 [1 per cell]
N 0.500 0.500 0.000 [1 per cell]
F 0.000 0.500 0.500 [2 per cell]

Calculated values
ΔE to the lowest computed polymorph	75	meV per atom